First-principles (PBE) data for an optimized crystal structure of MgMo2Se, as listed in Alexandria.

Summary:
- Raw formation energy: 0.49 eV per atom
- Space group: No. 65

a = 2.8848 Å, b = 2.8848 Å, c = 8.8245 Å
α = 90.00°, β = 90.00°, γ = 111.36°
Element x y z (fractional)
Se: 0.5000 0.5000 0.2500
Mo: 0.0000 0.0000 0.4800
Mo: 0.0000 0.0000 0.0200
Mg: 0.5000 0.5000 0.7500

=====

First-principles (PBE) data for an optimized crystal structure of HoLuMnPd, as listed in Alexandria.

Summary:
- Formation enthalpy at 0 K: -0.31 eV/atom
- Space group: No. 216

a = 4.9162 Å, b = 4.9162 Å, c = 4.9162 Å
α = 60.00°, β = 60.00°, γ = 60.00°
Element x y z (fractional)
Ho: 0.5000 0.5000 0.5000
Pd: 0.2500 0.2500 0.2500
Mn: 0.7500 0.7500 0.7500
Lu: 0.0000 0.0000 0.0000

=====

First-principles (PBE) data for an optimized crystal structure of HfMgZrIn, as listed in Alexandria.

Summary:
- Formation enthalpy at 0 K: -0.11 eV/atom
- Space group: No. 129

a = 4.4335 Å, b = 4.4335 Å, c = 9.0247 Å
α = 90.00°, β = 90.00°, γ = 90.00°
Element x y z (fractional)
In: 0.0000 0.5000 0.2519
Mg: 0.0000 0.0000 0.5000
Zr: 0.5000 0.0000 0.2471
In: 0.5000 0.0000 0.7481
Mg: 0.5000 0.5000 0.5000
Zr: 0.0000 0.5000 0.7529
Hf: 0.5000 0.5000 0.0000
Hf: 0.0000 0.0000 0.0000